A plane-wave DFT calculation with PBE was carried out for a relaxed structure of SrFe2W.

Unit cell a=7.2658 b=4.1950 c=6.1012 alpha=90.00 beta=113.46 gamma=90.00
Closest atoms and distances in Å follow each position.
Space group C2/m (No. 12)
Inequivalent atoms, fractional coordinates:
Sr1 0.0000 0.0000 0.0000 x2  8 Fe 3.22-3.39
Fe1 0.1920 0.0000 0.5758 x4  3 W 2.46, 3 Fe 2.57
W1 0.0000 0.5000 0.5000 x2  6 Fe 2.46

Calculated values
Fermi-level density of states	1.559	states/eV/atom
energy of formation	0.5075	eV/atom
E	-7.38	eV/atom
volume	21.32	Å³/atom
E above lowest polymorph	0	meV/atom
size of the total moment	3.17	μB per formula unit